Computed, not measured: a relaxed structure of Rb2Zn5As4 at the PBE level of DFT.

- Total moment: 0.00 μB/cell
- Energy: -0.2037 Ry per atom
- Energy of formation from the pure elements: -3.588 eV/f.u.

The structure in CIF format:
```
data_Rb2Zn5As4
_cell_length_a 6.915
_cell_length_b 6.915
_cell_length_c 11.888
_cell_angle_alpha 90.00
_cell_angle_beta 90.00
_cell_angle_gamma 116.94
_space_group_name_H-M_alt 'P 1'
_space_group_IT_number 1
_space_group_name_Hall 'P 1'
loop_
_atom_site_label
_atom_site_fract_x
_atom_site_fract_y
_atom_site_fract_z
_atom_site_occupancy
Rb1 0.215 0.785 0.500 1
Rb2 0.215 0.785 0.000 1
Rb3 0.785 0.215 0.500 1
Rb4 0.785 0.215 0.000 1
Zn1 0.530 0.241 0.250 1
Zn2 0.759 0.470 0.750 1
Zn3 0.470 0.759 0.750 1
Zn4 0.241 0.530 0.250 1
Zn5 0.655 0.655 0.392 1
Zn6 0.345 0.345 0.608 1
Zn7 0.655 0.655 0.108 1
Zn8 0.345 0.345 0.892 1
Zn9 0.012 0.012 0.250 1
Zn10 0.988 0.988 0.750 1
As1 0.604 0.915 0.250 1
As2 0.085 0.396 0.750 1
As3 0.396 0.085 0.750 1
As4 0.915 0.604 0.250 1
As5 0.284 0.284 0.400 1
As6 0.716 0.716 0.600 1
As7 0.284 0.284 0.100 1
As8 0.716 0.716 0.900 1
```

Computed, not measured: a relaxed structure of K3Sr at the PBE level of DFT.

- Energy above the lowest structure with this stoichiometry: 27.8 meV per atom
- Total moment: 0.00 μB/cell
- Energy: -0.0851 Ry per atom
- Energy of formation from the pure elements: 0.341 eV/f.u.

The structure in CIF format:
```
data_K3Sr
_cell_length_a 7.749
_cell_length_b 9.193
_cell_length_c 15.066
_cell_angle_alpha 90.00
_cell_angle_beta 89.99
_cell_angle_gamma 90.00
_space_group_name_H-M_alt 'P 1'
_space_group_IT_number 1
_space_group_name_Hall 'P 1'
loop_
_atom_site_label
_atom_site_fract_x
_atom_site_fract_y
_atom_site_fract_z
_atom_site_occupancy
K1 0.905 0.126 0.250 1
K2 0.595 0.626 0.750 1
K3 0.405 0.374 0.250 1
K4 0.095 0.874 0.750 1
K5 0.250 0.621 0.001 1
K6 0.250 0.121 0.999 1
K7 0.750 0.879 0.500 1
K8 0.750 0.379 0.500 1
K9 0.750 0.379 0.999 1
K10 0.750 0.879 0.001 1
K11 0.250 0.121 0.500 1
K12 0.250 0.621 0.500 1
Sr1 0.906 0.638 0.250 1
Sr2 0.594 0.138 0.750 1
Sr3 0.406 0.862 0.250 1
Sr4 0.094 0.362 0.750 1
```

Computed, not measured: a relaxed structure of SrTa2Br at the PBE level of DFT.

- Energy above the lowest structure with this stoichiometry: 179.1 meV per atom
- Total moment: 0.00 μB/cell
- Energy: -0.4791 Ry per atom

The structure in CIF format:
```
data_SrTa2Br
_cell_length_a 9.581
_cell_length_b 9.581
_cell_length_c 9.581
_cell_angle_alpha 21.05
_cell_angle_beta 21.05
_cell_angle_gamma 21.05
_space_group_name_H-M_alt 'P 1'
_space_group_IT_number 1
_space_group_name_Hall 'P 1'
loop_
_atom_site_label
_atom_site_fract_x
_atom_site_fract_y
_atom_site_fract_z
_atom_site_occupancy
Sr1 0.248 0.248 0.248 1
Br1 0.493 0.493 0.493 1
Ta1 0.014 0.014 0.014 1
Ta2 0.745 0.745 0.745 1
```

Computed, not measured: a relaxed structure of Nd6SmHo3 at the PBE level of DFT.

- Energy above the lowest structure with this stoichiometry: 0.0 meV per atom
- Total moment: 0.00 μB/cell
- Energy: -0.3366 Ry per atom
- Energy of formation from the pure elements: 1.256 eV/f.u.

The structure in CIF format:
```
data_Nd6SmHo3
_cell_length_a 6.481
_cell_length_b 11.803
_cell_length_c 11.803
_cell_angle_alpha 130.76
_cell_angle_beta 90.00
_cell_angle_gamma 90.00
_space_group_name_H-M_alt 'P 1'
_space_group_IT_number 1
_space_group_name_Hall 'P 1'
loop_
_atom_site_label
_atom_site_fract_x
_atom_site_fract_y
_atom_site_fract_z
_atom_site_occupancy
Nd1 0.076 0.739 0.620 1
Nd2 0.576 0.620 0.739 1
Nd3 0.326 0.455 0.893 1
Nd4 0.826 0.893 0.455 1
Nd5 0.299 0.985 0.015 1
Nd6 0.802 0.300 0.700 1
Nd7 0.302 0.700 0.300 1
Nd8 0.799 0.015 0.985 1
Nd9 0.326 0.107 0.545 1
Nd10 0.826 0.545 0.107 1
Nd11 0.076 0.380 0.261 1
Nd12 0.576 0.261 0.380 1
Sm1 0.011 0.156 0.844 1
Sm2 0.511 0.844 0.156 1
Ho1 0.488 0.959 0.706 1
Ho2 0.988 0.706 0.959 1
Ho3 0.096 0.419 0.581 1
Ho4 0.596 0.581 0.419 1
Ho5 0.988 0.041 0.294 1
Ho6 0.488 0.294 0.041 1
```

Computed, not measured: a relaxed structure of ZrTl2Ir at the PBE level of DFT.

- Energy above the lowest structure with this stoichiometry: 0.0 meV per atom
- Total moment: 0.00 μB/cell
- Energy: -0.4156 Ry per atom
- Energy of formation from the pure elements: -0.474 eV/f.u.

The structure in CIF format:
```
data_ZrTl2Ir
_cell_length_a 3.336
_cell_length_b 3.303
_cell_length_c 8.837
_cell_angle_alpha 78.96
_cell_angle_beta 90.00
_cell_angle_gamma 90.00
_space_group_name_H-M_alt 'P 1'
_space_group_IT_number 1
_space_group_name_Hall 'P 1'
loop_
_atom_site_label
_atom_site_fract_x
_atom_site_fract_y
_atom_site_fract_z
_atom_site_occupancy
Ir1 0.500 0.834 0.710 1
Tl1 0.000 0.200 0.953 1
Tl2 0.500 0.054 0.281 1
Zr1 0.000 0.411 0.556 1
```

Computed, not measured: a relaxed structure of AcPaSbBr at the PBE level of DFT.

- Total moment: 2.03 μB/cell
- Energy: -0.4014 Ry per atom

The structure in CIF format:
```
data_AcPaSbBr
_cell_length_a 5.474
_cell_length_b 5.474
_cell_length_c 5.474
_cell_angle_alpha 60.00
_cell_angle_beta 60.00
_cell_angle_gamma 60.00
_space_group_name_H-M_alt 'P 1'
_space_group_IT_number 1
_space_group_name_Hall 'P 1'
loop_
_atom_site_label
_atom_site_fract_x
_atom_site_fract_y
_atom_site_fract_z
_atom_site_occupancy
Sb1 0.500 0.500 0.500 1
Ac1 0.750 0.750 0.750 1
Pa1 0.250 0.250 0.250 1
Br1 0.000 0.000 0.000 1
```

Computed, not measured: a relaxed structure of Ta2TlSb at the PBE level of DFT.

- Energy above the lowest structure with this stoichiometry: 0.0 meV per atom
- Total moment: 0.00 μB/cell
- Energy: -0.5379 Ry per atom

The structure in CIF format:
```
data_Ta2TlSb
_cell_length_a 3.018
_cell_length_b 3.018
_cell_length_c 10.921
_cell_angle_alpha 90.00
_cell_angle_beta 90.00
_cell_angle_gamma 106.65
_space_group_name_H-M_alt 'P 1'
_space_group_IT_number 1
_space_group_name_Hall 'P 1'
loop_
_atom_site_label
_atom_site_fract_x
_atom_site_fract_y
_atom_site_fract_z
_atom_site_occupancy
Sb1 0.500 0.500 0.810 1
Ta1 0.000 0.000 0.018 1
Ta2 0.500 0.500 0.213 1
Tl1 0.000 0.000 0.459 1
```

Computed, not measured: a relaxed structure of VHgW3 at the PBE level of DFT.

- Energy above the lowest structure with this stoichiometry: 1557.5 meV per atom
- Total moment: 2.68 μB/cell
- Energy: -0.4740 Ry per atom
- Energy of formation from the pure elements: 16.037 eV/f.u.

The structure in CIF format:
```
data_VHgW3
_cell_length_a 4.897
_cell_length_b 4.897
_cell_length_c 4.897
_cell_angle_alpha 90.00
_cell_angle_beta 90.00
_cell_angle_gamma 90.00
_space_group_name_H-M_alt 'P 1'
_space_group_IT_number 1
_space_group_name_Hall 'P 1'
loop_
_atom_site_label
_atom_site_fract_x
_atom_site_fract_y
_atom_site_fract_z
_atom_site_occupancy
Hg1 0.000 0.000 0.000 1
W1 0.000 0.500 0.000 1
W2 0.000 0.000 0.500 1
W3 0.500 0.000 0.000 1
V1 0.500 0.500 0.500 1
```

- The highest total moment belongs to which entry?
  VHgW3

Copy entry 8 word for word.
Computed, not measured: a relaxed structure of VHgW3 at the PBE level of DFT.

- Energy above the lowest structure with this stoichiometry: 1557.5 meV per atom
- Total moment: 2.68 μB/cell
- Energy: -0.4740 Ry per atom
- Energy of formation from the pure elements: 16.037 eV/f.u.

The structure in CIF format:
```
data_VHgW3
_cell_length_a 4.897
_cell_length_b 4.897
_cell_length_c 4.897
_cell_angle_alpha 90.00
_cell_angle_beta 90.00
_cell_angle_gamma 90.00
_space_group_name_H-M_alt 'P 1'
_space_group_IT_number 1
_space_group_name_Hall 'P 1'
loop_
_atom_site_label
_atom_site_fract_x
_atom_site_fract_y
_atom_site_fract_z
_atom_site_occupancy
Hg1 0.000 0.000 0.000 1
W1 0.000 0.500 0.000 1
W2 0.000 0.000 0.500 1
W3 0.500 0.000 0.000 1
V1 0.500 0.500 0.500 1
```

- Number 8 is which compound?
  VHgW3